Entry 1:
# CaPm2Ho2 (PBE, optimized geometry)
data_CaPm2Ho2
_space_group_name_H-M_alt 'C m m m'
_space_group_IT_number 65
_space_group_name_Hall '-C 2 2'
_cell_length_a 5.559
_cell_length_b 17.568
_cell_length_c 3.558
_cell_angle_alpha 90.00
_cell_angle_beta 90.00
_cell_angle_gamma 90.00
loop_
_atom_site_label
_atom_site_type_symbol
_atom_site_fract_x
_atom_site_fract_y
_atom_site_fract_z
Ca1 Ca 0.000 0.000 0.000
Pm1 Pm 0.000 0.378 0.500
Ho1 Ho 0.000 0.201 0.000
# formation enthalpy at 0 K = 0.044 eV/atom
# density of states at the Fermi level = 1.3461 states/eV per atom


Entry 2:
# CaPm2Ho (PBE, optimized geometry)
data_CaPm2Ho
_space_group_name_H-M_alt 'P 4/m m m'
_space_group_IT_number 123
_space_group_name_Hall '-P 4 2'
_cell_length_a 3.652
_cell_length_b 3.652
_cell_length_c 10.478
_cell_angle_alpha 90.00
_cell_angle_beta 90.00
_cell_angle_gamma 90.00
loop_
_atom_site_label
_atom_site_type_symbol
_atom_site_fract_x
_atom_site_fract_y
_atom_site_fract_z
Ca1 Ca 0.000 0.000 0.000
Pm1 Pm 0.500 0.500 0.267
Ho1 Ho 0.000 0.000 0.500
# formation enthalpy at 0 K = 0.050 eV/atom
# density of states at the Fermi level = 1.4293 states/eV per atom
# distance to the lowest polymorph of the same formula = 9 meV/atom


Entry 3:
# CaPmHo2 (PBE, optimized geometry)
data_CaPmHo2
_space_group_name_H-M_alt 'P 4/m m m'
_space_group_IT_number 123
_space_group_name_Hall '-P 4 2'
_cell_length_a 5.095
_cell_length_b 5.095
_cell_length_c 5.169
_cell_angle_alpha 90.00
_cell_angle_beta 90.00
_cell_angle_gamma 90.00
loop_
_atom_site_label
_atom_site_type_symbol
_atom_site_fract_x
_atom_site_fract_y
_atom_site_fract_z
Ca1 Ca 0.000 0.000 0.000
Pm1 Pm 0.500 0.500 0.000
Ho1 Ho 0.000 0.500 0.500
# formation enthalpy at 0 K = 0.124 eV/atom
# density of states at the Fermi level = 1.6441 states/eV per atom
# distance to the lowest polymorph of the same formula = 60 meV/atom


Entry 4:
# CaPm5Ho4 (PBE, optimized geometry)
data_CaPm5Ho4
_space_group_name_H-M_alt 'P 4/m m m'
_space_group_IT_number 123
_space_group_name_Hall '-P 4 2'
_cell_length_a 3.615
_cell_length_b 3.615
_cell_length_c 25.661
_cell_angle_alpha 90.00
_cell_angle_beta 90.00
_cell_angle_gamma 90.00
loop_
_atom_site_label
_atom_site_type_symbol
_atom_site_fract_x
_atom_site_fract_y
_atom_site_fract_z
Ca1 Ca 0.000 0.000 0.000
Pm1 Pm 0.500 0.500 0.110
Pm2 Pm 0.500 0.500 0.305
Pm3 Pm 0.500 0.500 0.500
Ho1 Ho 0.000 0.000 0.205
Ho2 Ho 0.000 0.000 0.402
# formation enthalpy at 0 K = 0.029 eV/atom
# density of states at the Fermi level = 1.4030 states/eV per atom